Record 1
Entry from the Alexandria database: H3PdI after structural relaxation (PBE).

As for the space-group type: No. 221. For the polymorph energy (0 for the lowest one), the calculation gives 0 meV per atom. The final energy comes out at -2.70 eV/atom.

Unit cell a=3.8556 b=3.8556 c=3.8556 alpha=90.00 beta=90.00 gamma=90.00
Last column: nearest neighbours and their distance in Å.
Atoms (fractional coordinates):
1 H 0.0000 0.0000 0.5000  2 Pd 1.93
2 H 0.0000 0.5000 0.0000  2 Pd 1.93
3 H 0.5000 0.0000 0.0000  2 Pd 1.93
4 Pd 0.0000 0.0000 0.0000  6 H 1.93
5 I 0.5000 0.5000 0.5000  12 H 2.73

---

Record 2
Entry from the Alexandria database: H5Pd12I3 after structural relaxation (PBE).

As for the space-group type: No. 230. The final energy comes out at -4.15 eV/atom.

Unit cell a=11.4783 b=11.4783 c=11.4783 alpha=109.47 beta=109.47 gamma=109.47
Last column: nearest neighbours and their distance in Å.
Atoms (fractional coordinates):
1 H 0.0000 0.0000 0.0000  6 Pd 2.08
2 H 0.0000 0.0000 0.5000  6 Pd 2.08
3 H 0.0000 0.5000 0.0000  6 Pd 2.08
4 H 0.0000 0.5000 0.5000  6 Pd 2.08
5 H 0.1250 0.7500 0.8750  4 Pd 1.86
6 H 0.1250 0.8750 0.2500  4 Pd 1.86
7 H 0.2500 0.1250 0.8750  4 Pd 1.86
8 H 0.2500 0.6250 0.3750  4 Pd 1.86
9 H 0.3750 0.2500 0.6250  4 Pd 1.86
10 H 0.3750 0.6250 0.7500  4 Pd 1.86
11 H 0.5000 0.0000 0.0000  6 Pd 2.08
12 H 0.5000 0.0000 0.5000  6 Pd 2.08
13 H 0.5000 0.5000 0.0000  6 Pd 2.08
14 H 0.5000 0.5000 0.5000  6 Pd 2.08
15 H 0.6250 0.3750 0.2500  4 Pd 1.86
16 H 0.6250 0.7500 0.3750  4 Pd 1.86
17 H 0.7500 0.3750 0.6250  4 Pd 1.86
18 H 0.7500 0.8750 0.1250  4 Pd 1.86
19 H 0.8750 0.1250 0.7500  4 Pd 1.86
20 H 0.8750 0.2500 0.1250  4 Pd 1.86
21 Pd 0.0025 0.6908 0.0955  1 H 1.86
22 Pd 0.0025 0.8117 0.9070  1 H 1.86
23 Pd 0.0930 0.5955 0.9047  1 H 1.86
24 Pd 0.0930 0.9975 0.1883  1 H 1.86
25 Pd 0.0953 0.6883 0.6908  1 H 1.86
26 Pd 0.0953 0.9070 0.4045  1 H 1.86
27 Pd 0.0955 0.0025 0.6908  1 H 1.86
28 Pd 0.0955 0.5930 0.4047  1 H 1.86
29 Pd 0.1883 0.0930 0.9975  1 H 1.86
30 Pd 0.1883 0.5953 0.1908  1 H 1.86
31 Pd 0.1908 0.1883 0.5953  1 H 1.86
32 Pd 0.1908 0.5025 0.5955  1 H 1.86
33 Pd 0.3092 0.9045 0.9975  1 H 1.86
34 Pd 0.3092 0.9047 0.3117  1 H 1.86
35 Pd 0.3117 0.3092 0.9047  1 H 1.86
36 Pd 0.3117 0.5025 0.4070  1 H 1.86
37 Pd 0.4045 0.0953 0.9070  1 H 1.86
38 Pd 0.4045 0.8092 0.4975  1 H 1.86
39 Pd 0.4047 0.0955 0.5930  1 H 1.86
40 Pd 0.4047 0.8092 0.8117  1 H 1.86
41 Pd 0.4070 0.3117 0.5025  1 H 1.86
42 Pd 0.4070 0.5953 0.9045  1 H 1.86
43 Pd 0.4975 0.4045 0.8092  1 H 1.86
44 Pd 0.4975 0.5930 0.6883  1 H 1.86
45 Pd 0.5025 0.4070 0.3117  1 H 1.86
46 Pd 0.5025 0.5955 0.1908  1 H 1.86
47 Pd 0.5930 0.4047 0.0955  1 H 1.86
48 Pd 0.5930 0.6883 0.4975  1 H 1.86
49 Pd 0.5953 0.1908 0.1883  1 H 1.86
50 Pd 0.5953 0.9045 0.4070  1 H 1.86
51 Pd 0.5955 0.1908 0.5025  1 H 1.86
52 Pd 0.5955 0.9047 0.0930  1 H 1.86
53 Pd 0.6883 0.4975 0.5930  1 H 1.86
54 Pd 0.6883 0.6908 0.0953  1 H 1.86
55 Pd 0.6908 0.0953 0.6883  1 H 1.86
56 Pd 0.6908 0.0955 0.0025  1 H 1.86
57 Pd 0.8092 0.4975 0.4045  1 H 1.86
58 Pd 0.8092 0.8117 0.4047  1 H 1.86
59 Pd 0.8117 0.4047 0.8092  1 H 1.86
60 Pd 0.8117 0.9070 0.0025  1 H 1.86
61 Pd 0.9045 0.4070 0.5953  1 H 1.86
62 Pd 0.9045 0.9975 0.3092  1 H 1.86
63 Pd 0.9047 0.0930 0.5955  1 H 1.86
64 Pd 0.9047 0.3117 0.3092  1 H 1.86
65 Pd 0.9070 0.0025 0.8117  1 H 1.86
66 Pd 0.9070 0.4045 0.0953  1 H 1.86
67 Pd 0.9975 0.1883 0.0930  1 H 1.86
68 Pd 0.9975 0.3092 0.9045  1 H 1.86
69 I 0.1250 0.2500 0.3750  8 Pd 2.78
70 I 0.1250 0.3750 0.7500  8 Pd 2.78
71 I 0.2500 0.3750 0.1250  8 Pd 2.78
72 I 0.2500 0.8750 0.6250  8 Pd 2.78
73 I 0.3750 0.1250 0.2500  8 Pd 2.78
74 I 0.3750 0.7500 0.1250  8 Pd 2.78
75 I 0.6250 0.2500 0.8750  8 Pd 2.78
76 I 0.6250 0.8750 0.7500  8 Pd 2.78
77 I 0.7500 0.1250 0.3750  8 Pd 2.78
78 I 0.7500 0.6250 0.8750  8 Pd 2.78
79 I 0.8750 0.6250 0.2500  8 Pd 2.78
80 I 0.8750 0.7500 0.6250  8 Pd 2.78

---

Record 3
Entry from the Alexandria database: H2PdI6 after structural relaxation (PBE).

As for the space-group type: No. 15. The final energy comes out at -2.29 eV/atom.

Unit cell a=12.8777 b=12.8777 c=4.5853 alpha=99.35 beta=99.35 gamma=97.43
Last column: nearest neighbours and their distance in Å.
Atoms (fractional coordinates):
1 H 0.1187 0.1550 0.0847  1 I 1.67
2 H 0.1550 0.1187 0.5847  1 I 1.67
3 H 0.8450 0.8813 0.4153  1 I 1.67
4 H 0.8813 0.8450 0.9153  1 I 1.67
5 Pd 0.3501 0.6499 0.7500  4 I 2.59-2.62
6 Pd 0.6499 0.3501 0.2500  4 I 2.59-2.62
7 I 0.0474 0.2268 0.8804  1 H 1.67
8 I 0.1412 0.6165 0.6228  1 Pd 2.62
9 I 0.2268 0.0474 0.3804  1 H 1.67
10 I 0.3034 0.4444 0.5838  1 Pd 2.59
11 I 0.3835 0.8588 0.8772  1 Pd 2.62
12 I 0.4444 0.3034 0.0838  1 Pd 2.59
13 I 0.5556 0.6966 0.9162  1 Pd 2.59
14 I 0.6165 0.1412 0.1228  1 Pd 2.62
15 I 0.6966 0.5556 0.4162  1 Pd 2.59
16 I 0.7732 0.9526 0.6196  1 H 1.67
17 I 0.8588 0.3835 0.3772  1 Pd 2.62
18 I 0.9526 0.7732 0.1196  1 H 1.67

---

Record 4
Entry from the Alexandria database: H3PdI after structural relaxation (PBE).

As for the space-group type: No. 221. For the polymorph energy (0 for the lowest one), the calculation gives 480 meV per atom. The final energy comes out at -2.22 eV/atom.

Unit cell a=4.0520 b=4.0520 c=4.0520 alpha=90.00 beta=90.00 gamma=90.00
Last column: nearest neighbours and their distance in Å.
Atoms (fractional coordinates):
1 H 0.0000 0.0000 0.5000  2 I 2.03
2 H 0.0000 0.5000 0.0000  2 I 2.03
3 H 0.5000 0.0000 0.0000  2 I 2.03
4 Pd 0.5000 0.5000 0.5000  12 H 2.87
5 I 0.0000 0.0000 0.0000  6 H 2.03

---

Record 5
Entry from the Alexandria database: HPd2I after structural relaxation (PBE).

As for the space-group type: No. 122. For the polymorph energy (0 for the lowest one), the calculation gives 0 meV per atom. The final energy comes out at -3.72 eV/atom.

Unit cell a=6.2846 b=6.2846 c=6.2846 alpha=131.48 beta=131.48 gamma=71.05
Last column: nearest neighbours and their distance in Å.
Atoms (fractional coordinates):
1 H 0.0000 0.0000 0.0000  4 Pd 1.90
2 H 0.7500 0.2500 0.5000  4 Pd 1.90
3 Pd 0.3750 0.2325 0.3575  2 H 1.90
4 Pd 0.7675 0.1250 0.1425  2 H 1.90
5 Pd 0.8750 0.0175 0.6425  2 H 1.90
6 Pd 0.9825 0.6250 0.8575  2 H 1.90
7 I 0.2500 0.7500 0.5000  4 Pd 2.72
8 I 0.5000 0.5000 0.0000  4 Pd 2.72

---

Record 6
Entry from the Alexandria database: HPd2I after structural relaxation (PBE).

As for the space-group type: No. 225. For the polymorph energy (0 for the lowest one), the calculation gives 521 meV per atom. The final energy comes out at -3.20 eV/atom.

Unit cell a=4.5311 b=4.5311 c=4.5311 alpha=60.00 beta=60.00 gamma=60.00
Last column: nearest neighbours and their distance in Å.
Atoms (fractional coordinates):
1 H 0.0000 0.0000 0.0000  8 Pd 2.77
2 Pd 0.2500 0.2500 0.2500  4 I 2.77, 4 H 2.77
3 Pd 0.7500 0.7500 0.7500  4 I 2.77, 4 H 2.77
4 I 0.5000 0.5000 0.5000  8 Pd 2.77

---

Record 7
Entry from the Alexandria database: HPd3I after structural relaxation (PBE).

As for the space-group type: No. 221. For the polymorph energy (0 for the lowest one), the calculation gives 0 meV per atom. The final energy comes out at -3.98 eV/atom.

Unit cell a=4.2027 b=4.2027 c=4.2027 alpha=90.00 beta=90.00 gamma=90.00
Last column: nearest neighbours and their distance in Å.
Atoms (fractional coordinates):
1 H 0.0000 0.0000 0.0000  6 Pd 2.10
2 Pd 0.0000 0.0000 0.5000  2 H 2.10
3 Pd 0.0000 0.5000 0.0000  2 H 2.10
4 Pd 0.5000 0.0000 0.0000  2 H 2.10
5 I 0.5000 0.5000 0.5000  12 Pd 2.97

---

Record 8
Entry from the Alexandria database: HPd3I after structural relaxation (PBE).

As for the space-group type: No. 221. For the polymorph energy (0 for the lowest one), the calculation gives 939 meV per atom. The final energy comes out at -3.05 eV/atom.

Unit cell a=5.0606 b=5.0606 c=5.0606 alpha=90.00 beta=90.00 gamma=90.00
Last column: nearest neighbours and their distance in Å.
Atoms (fractional coordinates):
1 H 0.0000 0.0000 0.0000  12 Pd 3.58
2 Pd 0.0000 0.5000 0.5000  2 I 2.53
3 Pd 0.5000 0.0000 0.5000  2 I 2.53
4 Pd 0.5000 0.5000 0.0000  2 I 2.53
5 I 0.5000 0.5000 0.5000  6 Pd 2.53